(1)
Below is a crystal of RuAuSe2 relaxed with PBEsol, with properties calculated at the SCAN level.

**ρ**: 10.36 Mg/m³
**E_form (uncorrected)**: 0.35 eV per atom
**Total moment**: 0.00 μB per formula unit
**SG**: Cmmm (65)

The structure in extended XYZ format:
```
4
Lattice="2.849 0.000 0.000 -1.424 2.458 0.000 0.000 0.000 10.435" Properties=species:S:1:pos:R:3 pbc="T T T"
Au 1.424 0.000 5.217
Ru 1.424 0.000 0.000
Se 0.000 0.000 8.373
Se 0.000 0.000 2.061
```

(2)
Below is a crystal of KMg2Cl relaxed with PBEsol, with properties calculated at the SCAN level.

**ρ**: 1.93 Mg/m³
**E_form (uncorrected)**: -0.64 eV per atom
**Total moment**: 0.00 μB per formula unit
**SG**: Immm (71)

The structure in extended XYZ format:
```
4
Lattice="-2.126 2.475 -0.773 -1.380 0.387 5.031 6.135 2.610 -1.238" Properties=species:S:1:pos:R:3 pbc="T T T"
Cl -1.063 1.238 -0.387
K -0.690 0.194 2.516
Mg 0.717 3.708 2.631
Mg 1.913 1.764 0.389
```

(3)
Below is a crystal of MnZnO3 relaxed with PBEsol, with properties calculated at the SCAN level.

**ρ**: 6.12 Mg/m³
**E_form (uncorrected)**: -1.87 eV per atom
**Total moment**: 3.00 μB per formula unit
**SG**: Pnma (62)

The structure in extended XYZ format:
```
20
Lattice="-2.227 -4.357 -0.922 3.220 -0.836 -3.829 4.559 -3.294 4.553" Properties=species:S:1:pos:R:3 pbc="T T T"
Mn -1.113 -2.178 -0.461
Mn 1.166 -3.825 1.816
Mn 1.610 -0.418 -1.915
Mn 3.890 -2.065 0.362
Zn -0.922 -5.192 0.042
Zn 3.778 -5.000 1.225
Zn 1.774 -3.486 -1.423
Zn 6.474 -3.294 -0.240
O 2.236 -5.204 2.622
O 2.760 -2.810 1.668
O 4.474 -4.048 3.380
O -0.237 -3.444 -1.541
O 1.477 -4.682 0.171
O 2.302 -1.698 -0.659
O 3.250 -6.788 0.461
O 5.789 -5.042 1.343
O 4.075 -3.804 -0.369
O 1.079 -4.438 -3.577
O 2.793 -5.677 -1.866
O 3.316 -3.283 -2.820
```

(4)
Below is a crystal of KCa2Ag relaxed with PBEsol, with properties calculated at the SCAN level.

**ρ**: 2.59 Mg/m³
**Total moment**: 0.00 μB per formula unit
**SG**: P4/mmm (123)
**Energy of formation**: -2.15 kcal/mol of atoms

The structure in extended XYZ format:
```
4
Lattice="-2.404 -2.788 0.662 0.984 -1.615 -3.228 7.502 -5.292 4.934" Properties=species:S:1:pos:R:3 pbc="T T T"
Ag 3.041 -4.847 1.184
Ca 2.587 -6.308 3.945
Ca 2.511 -1.771 1.651
K -0.710 -2.202 -1.283
```

(5)
Below is a crystal of ScHgIr2 relaxed with PBEsol, with properties calculated at the SCAN level.

**ρ**: 15.87 Mg/m³
**Total moment**: 0.00 μB per formula unit
**SG**: P4/mmm (123)
**Energy of formation**: -6.47 kcal/mol of atoms

The structure in extended XYZ format:
```
4
Lattice="3.230 0.000 0.000 0.000 3.230 0.000 0.000 0.000 6.320" Properties=species:S:1:pos:R:3 pbc="T T T"
Hg 1.615 1.615 3.160
Ir 0.000 0.000 4.805
Ir 0.000 0.000 1.515
Sc 1.615 1.615 0.000
```

(6)
Below is a crystal of LiZrIn relaxed with PBEsol, with properties calculated at the SCAN level.

**ρ**: 6.02 Mg/m³
**Total moment**: 0.00 μB per formula unit
**SG**: P-6m2 (187)
**Energy of formation**: -6.11 kcal/mol of atoms

The structure in extended XYZ format:
```
3
Lattice="-1.922 1.444 2.035 -2.936 -3.590 -0.225 3.387 0.033 3.175" Properties=species:S:1:pos:R:3 pbc="T T T"
In -1.601 1.203 1.695
Li -0.322 0.029 3.737
Zr -1.469 -1.901 1.587
```

(7)
Below is a crystal of FeMoRh2 relaxed with PBEsol, with properties calculated at the SCAN level.

**ρ**: 11.48 Mg/m³
**Total moment**: 1.83 μB per formula unit
**SG**: P4/mmm (123)
**Energy of formation**: -2.82 kcal/mol of atoms

The structure in extended XYZ format:
```
4
Lattice="3.713 0.000 0.000 0.000 3.713 0.000 0.000 0.000 3.754" Properties=species:S:1:pos:R:3 pbc="T T T"
Fe 1.856 1.856 1.877
Mo 0.000 0.000 1.877
Rh 0.000 1.856 0.000
Rh 1.856 0.000 0.000
```

(8)
Below is a crystal of LuNbO4 relaxed with PBEsol, with properties calculated at the SCAN level.

**ρ**: 7.97 Mg/m³
**E_form (uncorrected)**: -3.41 eV per atom
**Total moment**: 0.00 μB per formula unit
**SG**: P2/c (13)

The structure in extended XYZ format:
```
12
Lattice="-4.880 0.448 1.156 1.456 -1.596 4.747 0.803 5.025 1.444" Properties=species:S:1:pos:R:3 pbc="T T T"
Lu -0.739 2.835 5.232
Lu -1.881 1.042 2.115
Nb 1.322 0.245 3.974
Nb 0.937 3.184 2.216
O -0.711 2.857 1.192
O 0.155 -1.023 4.735
O -2.747 -0.270 3.730
O -2.551 2.362 3.938
O -0.070 1.515 3.409
O 0.126 4.147 3.617
O -2.776 4.900 2.612
O -1.910 1.020 6.155
```

(9)
Below is a crystal of TaWSe3 relaxed with PBEsol, with properties calculated at the SCAN level.

**ρ**: 8.88 Mg/m³
**E_form (uncorrected)**: 1.07 eV per atom
**Total moment**: 3.95 μB per formula unit
**SG**: Pm-3m (221)

The structure in extended XYZ format:
```
5
Lattice="-4.111 -1.591 1.967 2.526 -2.780 3.032 0.133 3.612 3.200" Properties=species:S:1:pos:R:3 pbc="T T T"
Se 1.263 -1.390 1.516
Se 0.067 1.806 1.600
Se -2.056 -0.795 0.983
W 0.000 0.000 0.000
Ta -0.726 -0.379 4.099
```

(10)
Below is a crystal of Ca2MnCr relaxed with PBEsol, with properties calculated at the SCAN level.

**ρ**: 3.43 Mg/m³
**Total moment**: 0.05 μB per formula unit
**SG**: P4mm (99)
**Energy of formation**: 4.35 kcal/mol of atoms

The structure in extended XYZ format:
```
4
Lattice="3.240 0.000 0.000 0.000 3.240 0.000 0.000 0.000 8.634" Properties=species:S:1:pos:R:3 pbc="T T T"
Cr 0.000 0.000 5.040
Ca 0.000 0.000 8.039
Ca 1.620 1.620 2.729
Mn 1.620 1.620 5.778
```

(11)
Below is a crystal of Te3Os relaxed with PBEsol, with properties calculated at the SCAN level.

**ρ**: 11.07 Mg/m³
**E_form (uncorrected)**: 1.01 eV per atom
**Total moment**: 0.00 μB per formula unit
**SG**: P4/mmm (123)

The structure in extended XYZ format:
```
4
Lattice="-3.150 -1.079 -0.518 1.076 -0.802 -4.870 1.437 -4.718 1.094" Properties=species:S:1:pos:R:3 pbc="T T T"
Os 0.000 0.000 0.000
Te -0.857 -2.899 0.288
Te -1.037 -0.940 -2.694
Te 1.256 -2.760 -1.888
```

(12)
Below is a crystal of RbAlF4 relaxed with PBEsol, with properties calculated at the SCAN level.

**ρ**: 3.80 Mg/m³
**E_form (uncorrected)**: -3.62 eV per atom
**Total moment**: 0.00 μB per formula unit
**SG**: P4/mbm (127)

The structure in extended XYZ format:
```
12
Lattice="5.119 0.000 0.000 0.000 5.119 0.000 0.000 0.000 6.281" Properties=species:S:1:pos:R:3 pbc="T T T"
Rb 2.560 0.000 3.140
Rb 0.000 2.560 3.140
Al 2.560 2.560 0.000
Al 0.000 0.000 0.000
F 2.560 2.560 1.773
F 0.000 0.000 4.508
F 2.560 2.560 4.508
F 0.000 0.000 1.773
F 1.049 3.609 0.000
F 1.510 1.049 0.000
F 3.609 4.070 0.000
F 4.070 1.510 0.000
```

The lowest ρ belongs to which entry?
KMg2Cl